## BaSr2Br (PBE-GGA)

Data for an optimized crystal structure of BaSr2Br.

Unit cell a=4.2097 b=4.2097 c=11.9134 alpha=90.00 beta=90.00 gamma=116.51
Fractional coordinates of all 4 atoms:
Ba  0.0000  0.0000  0.0000
Sr  0.5000  0.5000  0.2955
Sr  0.5000  0.5000  0.7045
Br  0.0000  0.0000  0.5000

Results
Total moment   0.00 μB per atom
Raw formation energy   -700 meV/atom
ΔE to the lowest computed polymorph   3.4 kJ per mole of atoms